{
  "formula": "Ac2CrHgO6",
  "functional": "GGA+U",
  "state": "optimized geometry",
  "magmom_total_mub_per_cell": 2.00,
  "dos_at_fermi_per_ev_fu": 2.5,
  "energy_ev_per_cell": -66.9,
  "cell": [[5.655, 0.000, 0.000], [0.000, 5.655, 0.000], [0.000, 0.000, 5.049]],
  "species": ["Ac", "Ac", "Cr", "Hg", "O", "O", "O", "O", "O", "O"],
  "fractional_positions": [[0.000, 0.500, 0.000], [0.500, 0.000, 0.000], [0.000, 0.000, 0.586], [0.500, 0.500, 0.527], [0.000, 0.000, 0.228], [0.227, 0.227, 0.710], [0.227, 0.773, 0.710], [0.500, 0.500, 0.100], [0.773, 0.227, 0.710], [0.773, 0.773, 0.710]]
}